[1]
! ZnNi2Pt | Alexandria | GGA-PBE | relaxed; values from VASP
&SYSTEM
  ibrav = 0, nat = 4, ntyp = 3
/
ATOMIC_SPECIES
Ni 58.69 Ni.upf
Zn 65.41 Zn.upf
Pt 195.08 Pt.upf
CELL_PARAMETERS angstrom
-6.173 2.716 -5.082
-7.376 0.528 -4.076
-7.465 2.855 -2.725
ATOMIC_POSITIONS crystal
Ni 0.999 0.999 0.999
Ni 0.255 0.255 0.255
Zn 0.745 0.745 0.745
Pt 0.501 0.501 0.501
! E = -4.83 eV/atom
! D(E_F) = 5.05 states/eV/f.u.
! SG = R3m
! Crystal system = trigonal

***

[2]
! ZnNiPt2 | Alexandria | GGA-PBE | relaxed; values from VASP
&SYSTEM
  ibrav = 0, nat = 4, ntyp = 3
/
ATOMIC_SPECIES
Pt 195.08 Pt.upf
Ni 58.69 Ni.upf
Zn 65.41 Zn.upf
CELL_PARAMETERS angstrom
-2.648 -0.214 0.797
-0.783 -3.056 -3.420
1.091 -3.333 2.729
ATOMIC_POSITIONS crystal
Pt 0.000 0.000 0.000
Pt 0.500 0.500 0.000
Ni 0.000 0.500 0.500
Zn 0.500 0.000 0.500
! E = -5.00 eV/atom
! D(E_F) = 2.61 states/eV/f.u.
! SG = Pmmm
! Crystal system = orthorhombic

***

no.,energy relative to the elements (kJ per mole of atoms)
1,-11.0
2,-20.7